Entry 1:
Material: KIn6Au4
Method: DFT, PBE
State: relaxed

abc: 8.2514 8.2514 4.5062
angles: 90.00 90.00 120.00
With the nearest neighbours (Å) after each atom.
Fractional positions:
K  0.0000  0.0000  0.0000  6 In 3.60, 6 Au 3.69
In  0.1967  0.3933  0.5000  4 Au 2.87-2.98
In  0.1967  0.8033  0.5000  4 Au 2.87-2.98
In  0.5346  0.0693  0.0000  5 Au 2.88-2.93
In  0.5346  0.4654  0.0000  5 Au 2.88-2.93
In  0.6067  0.8033  0.5000  4 Au 2.87-2.98
In  0.9307  0.4654  0.0000  5 Au 2.88-2.93
Au  0.3333  0.6667  0.0000  9 In 2.88-2.98
Au  0.4083  0.2042  0.5000  6 In 2.87-2.93, 2 Au 3.20
Au  0.7958  0.2042  0.5000  6 In 2.87-2.93, 2 Au 3.20
Au  0.7958  0.5917  0.5000  6 In 2.87-2.93, 2 Au 3.20

* M_tot: 0.00 Bohr magnetons per cell
* energy relative to the lowest polymorph listed for this composition: 0.0 kJ per mole of atoms
* energy relative to the elements: -264 meV/atom
* SG: P-6m2 (187)
* volume: 265.70 Å³ per cell



Entry 2:
Material: KIn5Au3
Method: DFT, PBE
State: relaxed

abc: 7.7313 7.7313 14.6409
angles: 90.00 90.00 146.53
With the nearest neighbours (Å) after each atom.
Fractional positions:
K  0.1667  0.8333  0.7500  7 Au 3.85-4.20, 8 In 3.95-4.07
K  0.8333  0.1667  0.2500  7 Au 3.85-4.20, 8 In 3.95-4.07
In  0.0000  0.0000  0.0000  4 Au 2.92, 6 In 3.12-3.17
In  0.0000  0.0000  0.5000  4 Au 2.92, 6 In 3.12-3.17
In  0.1973  0.8027  0.0748  4 Au 2.73-3.00
In  0.1973  0.8027  0.4252  4 Au 2.73-3.00
In  0.4596  0.5404  0.6490  4 Au 2.88-3.02, 3 In 2.96-3.17
In  0.4596  0.5404  0.8510  4 Au 2.88-3.02, 3 In 2.96-3.17
In  0.5404  0.4596  0.1490  4 Au 2.88-3.02, 3 In 2.96-3.17
In  0.5404  0.4596  0.3510  4 Au 2.88-3.02, 3 In 2.96-3.17
In  0.8027  0.1973  0.5748  4 Au 2.73-3.00
In  0.8027  0.1973  0.9252  4 Au 2.73-3.00
Au  0.1170  0.8830  0.2500  6 In 2.83-2.90
Au  0.3781  0.6219  0.0400  7 In 2.73-3.02
Au  0.3781  0.6219  0.4600  7 In 2.73-3.02
Au  0.6219  0.3781  0.5400  7 In 2.73-3.02
Au  0.6219  0.3781  0.9600  7 In 2.73-3.02
Au  0.8830  0.1170  0.7500  6 In 2.83-2.90

* M_tot: 0.00 Bohr magnetons per cell
* energy relative to the elements: -207 meV/atom
* SG: Cmcm (63)
* volume: 482.63 Å³ per cell



Entry 3:
Material: K3InAu
Method: DFT, PBE
State: relaxed

abc: 8.2039 8.2039 8.5905
angles: 120.53 120.53 78.52
With the nearest neighbours (Å) after each atom.
Fractional positions:
K  0.0560  0.0560  0.3392  2 Au 3.39-3.58, 1 In 3.66
K  0.0937  0.4771  0.2428  2 Au 3.32-3.62
K  0.4771  0.0937  0.2428  2 Au 3.32-3.62
K  0.5229  0.9063  0.7572  2 Au 3.32-3.62
K  0.9063  0.5229  0.7572  2 Au 3.32-3.62
K  0.9440  0.9440  0.6608  2 Au 3.39-3.58, 1 In 3.66
In  0.4354  0.4354  0.7515  2 Au 2.78-2.84
In  0.5646  0.5646  0.2485  2 Au 2.78-2.84
Au  0.2855  0.2855  0.8910  2 In 2.78-2.84
Au  0.7145  0.7145  0.1090  2 In 2.78-2.84

* M_tot: 0.00 Bohr magnetons per cell
* energy relative to the lowest polymorph listed for this composition: 2.5 kJ per mole of atoms
* energy relative to the elements: -147 meV/atom
* SG: C2/m (12)
* volume: 427.61 Å³ per cell



Entry 4:
Material: KIn2Au
Method: DFT, PBE
State: relaxed

abc: 3.7957 3.7957 8.1048
angles: 90.00 90.00 90.00
With the nearest neighbours (Å) after each atom.
Fractional positions:
K  0.0000  0.0000  0.0000  5 In 3.56-3.77, 4 Au 3.62, 4 K 3.80
In  0.0000  0.0000  0.4387  4 Au 2.91
In  0.5000  0.5000  0.6736  1 Au 3.02, 4 In 3.29
Au  0.5000  0.5000  0.3006  5 In 2.91-3.02

* M_tot: 0.00 Bohr magnetons per cell
* energy relative to the elements: -131 meV/atom
* SG: P4mm (99)
* volume: 116.77 Å³ per cell



Entry 5:
Material: K6InAu
Method: DFT, PBE
State: relaxed

abc: 4.6680 9.7816 9.7816
angles: 85.01 90.00 90.00
With the nearest neighbours (Å) after each atom.
Fractional positions:
K  0.0000  0.0000  0.0000  10 K 4.39-4.67
K  0.0000  0.5554  0.8622  2 Au 3.55, 1 In 3.84
K  0.0000  0.8622  0.5554  2 Au 3.55, 1 In 3.84
K  0.5000  0.2451  0.6869  1 Au 3.40, 2 In 3.75
K  0.5000  0.2673  0.2673  2 In 3.89, 2 K 4.09
K  0.5000  0.6869  0.2451  1 Au 3.40, 2 In 3.75
In  0.0000  0.4829  0.4829  2 Au 2.78
Au  0.5000  0.5874  0.5874  2 In 2.78

* M_tot: 0.00 Bohr magnetons per cell
* energy relative to the elements: -100 meV/atom
* SG: Amm2 (38)
* volume: 444.95 Å³ per cell



Entry 6:
Material: K2In5Au3
Method: DFT, PBE
State: relaxed

abc: 14.1713 14.1713 7.6629
angles: 90.00 90.00 160.28
With the nearest neighbours (Å) after each atom.
Fractional positions:
K  0.0205  0.9795  0.5000  5 Au 3.18-3.50, 3 In 3.43-3.56
K  0.3240  0.6760  0.5492  4 Au 3.39-3.64, 9 In 3.43-3.60
K  0.6760  0.3240  0.0492  4 Au 3.39-3.64, 9 In 3.43-3.60
K  0.9795  0.0205  0.0000  5 Au 3.18-3.50, 3 In 3.43-3.56
In  0.1016  0.8984  0.8587  3 Au 2.87-2.95, 1 In 3.08
In  0.2070  0.7930  0.3541  4 Au 2.84-2.94, 1 In 3.08
In  0.2083  0.7917  0.7566  3 Au 2.91-2.94, 2 In 3.08
In  0.3757  0.6243  0.0148  2 Au 2.88-2.98
In  0.4478  0.5522  0.6739  4 Au 2.91-3.00
In  0.5522  0.4478  0.1739  4 Au 2.91-3.00
In  0.6243  0.3757  0.5148  2 Au 2.88-2.98
In  0.7917  0.2083  0.2566  3 Au 2.91-2.94, 2 In 3.08
In  0.7930  0.2070  0.8541  4 Au 2.84-2.94, 1 In 3.08
In  0.8984  0.1016  0.3587  3 Au 2.87-2.95, 1 In 3.08
Au  0.1100  0.8900  0.2424  4 In 2.84-2.96
Au  0.2733  0.7267  0.0589  7 In 2.88-2.94
Au  0.4500  0.5500  0.2943  5 In 2.87-3.00
Au  0.5500  0.4500  0.7943  5 In 2.87-3.00
Au  0.7267  0.2733  0.5589  7 In 2.88-2.94
Au  0.8900  0.1100  0.7425  4 In 2.84-2.96

* M_tot: 0.00 Bohr magnetons per cell
* energy relative to the lowest polymorph listed for this composition: 0.9 kJ per mole of atoms
* energy relative to the elements: -247 meV/atom
* SG: Cmc2_1 (36)
* volume: 519.27 Å³ per cell



Entry 7:
Material: K2In3Au4
Method: DFT, PBE
State: relaxed

abc: 9.0800 9.0800 8.0193
angles: 90.00 90.00 136.26
With the nearest neighbours (Å) after each atom.
Fractional positions:
K  0.1005  0.8995  0.9101  5 Au 3.27-3.48, 2 In 3.52
K  0.3995  0.6005  0.4101  5 Au 3.27-3.48, 2 In 3.52
K  0.6005  0.3995  0.5899  5 Au 3.27-3.48, 2 In 3.52
K  0.8995  0.1005  0.0899  5 Au 3.27-3.48, 2 In 3.52
In  0.0000  0.0000  0.5000  6 Au 2.83-3.01
In  0.0171  0.4829  0.7500  5 Au 2.86-2.91
In  0.4829  0.0171  0.2500  5 Au 2.86-2.91
In  0.5000  0.5000  0.0000  6 Au 2.83-3.01
In  0.5171  0.9829  0.7500  5 Au 2.86-2.91
In  0.9829  0.5171  0.2500  5 Au 2.86-2.91
Au  0.1784  0.8216  0.5203  5 In 2.90-3.01
Au  0.1868  0.3132  0.7500  3 In 2.83-2.86
Au  0.3132  0.1868  0.2500  3 In 2.83-2.86
Au  0.3216  0.6784  0.0203  5 In 2.90-3.01
Au  0.6784  0.3216  0.9797  5 In 2.90-3.01
Au  0.6868  0.8132  0.7500  3 In 2.83-2.86
Au  0.8132  0.6868  0.2500  3 In 2.83-2.86
Au  0.8216  0.1784  0.4797  5 In 2.90-3.01

* M_tot: 0.00 Bohr magnetons per cell
* energy relative to the elements: -271 meV/atom
* SG: Cmce (64)
* volume: 457.13 Å³ per cell



Entry 8:
Material: K3InAu2
Method: DFT, PBE
State: relaxed

abc: 8.5884 8.5884 8.5884
angles: 63.48 63.48 63.48
With the nearest neighbours (Å) after each atom.
Fractional positions:
K  0.0275  0.7500  0.4725  4 Au 3.44-3.46, 2 In 3.71
K  0.2500  0.5275  0.9725  4 Au 3.44-3.46, 2 In 3.71
K  0.4725  0.0275  0.7500  4 Au 3.44-3.46, 2 In 3.71
K  0.5275  0.9725  0.2500  4 Au 3.44-3.46, 2 In 3.71
K  0.7500  0.4725  0.0275  4 Au 3.44-3.46, 2 In 3.71
K  0.9725  0.2500  0.5275  4 Au 3.44-3.46, 2 In 3.71
In  0.0000  0.0000  0.0000  2 Au 2.76
In  0.5000  0.5000  0.5000  2 Au 2.76
Au  0.1349  0.1349  0.1349  1 In 2.76
Au  0.3651  0.3651  0.3651  1 In 2.76
Au  0.6349  0.6349  0.6349  1 In 2.76
Au  0.8651  0.8651  0.8651  1 In 2.76

* M_tot: 0.00 Bohr magnetons per cell
* energy relative to the lowest polymorph listed for this composition: 5.4 kJ per mole of atoms
* energy relative to the elements: -173 meV/atom
* SG: R-3c (167)
* volume: 482.42 Å³ per cell



Entry 9:
Material: K3In7Au2
Method: DFT, PBE
State: relaxed

abc: 10.2811 10.2811 10.2811
angles: 36.95 36.95 36.95
With the nearest neighbours (Å) after each atom.
Fractional positions:
K  0.0000  0.0000  0.0000  6 Au 3.76, 12 In 3.93, 2 K 4.13
K  0.1438  0.1438  0.1438  12 In 3.72-3.82, 4 K 3.98-4.13
K  0.8562  0.8562  0.8562  12 In 3.72-3.82, 4 K 3.98-4.13
In  0.0690  0.5805  0.5805  2 Au 2.86-2.93, 2 In 3.18
In  0.4195  0.4195  0.9310  2 Au 2.86-2.93, 2 In 3.18
In  0.4195  0.9310  0.4195  2 Au 2.86-2.93, 2 In 3.18
In  0.5000  0.5000  0.5000  6 In 3.22
In  0.5805  0.0690  0.5805  2 Au 2.86-2.93, 2 In 3.18
In  0.5805  0.5805  0.0690  2 Au 2.86-2.93, 2 In 3.18
In  0.9310  0.4195  0.4195  2 Au 2.86-2.93, 2 In 3.18
Au  0.3361  0.3361  0.3361  6 In 2.86-2.93
Au  0.6639  0.6639  0.6639  6 In 2.86-2.93

* M_tot: 0.00 Bohr magnetons per cell
* energy relative to the lowest polymorph listed for this composition: 0.0 kJ per mole of atoms
* energy relative to the elements: -183 meV/atom
* SG: R-3m (166)
* volume: 351.77 Å³ per cell



Entry 10:
Material: KIn2Au
Method: DFT, PBE
State: relaxed

abc: 6.4642 6.4642 5.6193
angles: 115.17 115.17 32.26
With the nearest neighbours (Å) after each atom.
Fractional positions:
K  0.0000  0.0000  0.0000  4 Au 3.33, 2 K 3.59, 4 In 3.61-3.64
In  0.2052  0.2052  0.7045  2 Au 2.91
In  0.7948  0.7948  0.2955  2 Au 2.91
Au  0.5000  0.5000  0.5000  4 In 2.91

* M_tot: 0.00 Bohr magnetons per cell
* energy relative to the elements: -172 meV/atom
* SG: C2/m (12)
* volume: 112.39 Å³ per cell



Question: What is the volume in the sixth record?
Answer: 519.27 Å³ per cell